Model A:
Here is a relaxed structure of Er2TcCl from Alexandria via LeMat-Bulk. Energies are from PBE-GGA.

a = 3.390 Å, b = 3.390 Å, c = 7.766 Å
α = 90.00°, β = 90.00°, γ = 90.00°
Fractional coordinates of all 4 atoms:
Er (0.000, 0.000, 0.209)
Er (0.000, 0.000, 0.791)
Tc (0.500, 0.500, 0.000)
Cl (0.500, 0.500, 0.500)

- SG: P4/mmm (123)

Model B:
Here is a relaxed structure of Er2TcCl from Alexandria via LeMat-Bulk. Energies are from PBE-GGA.

a = 9.994 Å, b = 9.994 Å, c = 9.994 Å
α = 18.54°, β = 18.54°, γ = 18.54°
Fractional coordinates of all 4 atoms:
Er (0.090, 0.090, 0.090)
Er (0.910, 0.910, 0.910)
Tc (0.000, 0.000, 0.000)
Cl (0.500, 0.500, 0.500)

- SG: R-3m (166)

Q: Which of them is the most stable? A: model A.

Model A:
Here is a relaxed structure of EuClF from Alexandria via LeMat-Bulk. Energies are from PBE-GGA.

a = 4.133 Å, b = 4.133 Å, c = 4.318 Å
α = 90.00°, β = 90.00°, γ = 120.00°
Fractional coordinates of all 3 atoms:
Eu (0.000, 0.000, 0.000)
Cl (0.333, 0.667, 0.500)
F (0.667, 0.333, 0.000)

- SG: P-6m2 (187)

Model B:
Here is a relaxed structure of EuClF from Alexandria via LeMat-Bulk. Energies are from PBE-GGA.

a = 4.122 Å, b = 4.122 Å, c = 7.052 Å
α = 90.00°, β = 90.00°, γ = 90.00°
Fractional coordinates of all 6 atoms:
Eu (0.250, 0.250, 0.206)
Eu (0.750, 0.750, 0.794)
Cl (0.250, 0.250, 0.644)
Cl (0.750, 0.750, 0.356)
F (0.250, 0.750, 0.000)
F (0.750, 0.250, 0.000)

- SG: P4/nmm (129)

Q: Which of them is the most stable? A: model B.

Model A:
Here is a relaxed structure of EuClF from Alexandria via LeMat-Bulk. Energies are from PBE-GGA.

a = 4.601 Å, b = 4.601 Å, c = 4.601 Å
α = 60.00°, β = 60.00°, γ = 60.00°
Fractional coordinates of all 3 atoms:
Eu (0.000, 0.000, 0.000)
Cl (0.750, 0.750, 0.750)
F (0.250, 0.250, 0.250)

- SG: F-43m (216)

Model B:
Here is a relaxed structure of EuClF from Alexandria via LeMat-Bulk. Energies are from PBE-GGA.

a = 5.513 Å, b = 5.513 Å, c = 5.513 Å
α = 143.01°, β = 143.01°, γ = 53.31°
Fractional coordinates of all 3 atoms:
Eu (0.000, 0.000, 0.000)
Cl (0.698, 0.698, 0.000)
F (0.423, 0.423, 0.000)

- SG: I4mm (107)

Q: Which of them is the most stable? A: model A.

Model A:
Here is a relaxed structure of Eu2GeCl from Alexandria via LeMat-Bulk. Energies are from PBE-GGA.

a = 3.604 Å, b = 3.604 Å, c = 8.048 Å
α = 90.00°, β = 90.00°, γ = 90.00°
Fractional coordinates of all 4 atoms:
Eu (0.000, 0.000, 0.234)
Eu (0.000, 0.000, 0.766)
Ge (0.500, 0.500, 0.000)
Cl (0.500, 0.500, 0.500)

- SG: P4/mmm (123)

Model B:
Here is a relaxed structure of Eu2GeCl from Alexandria via LeMat-Bulk. Energies are from PBE-GGA.

a = 7.774 Å, b = 7.774 Å, c = 7.774 Å
α = 31.84°, β = 31.84°, γ = 31.84°
Fractional coordinates of all 4 atoms:
Eu (0.247, 0.247, 0.247)
Eu (0.753, 0.753, 0.753)
Ge (0.500, 0.500, 0.500)
Cl (0.000, 0.000, 0.000)

- SG: R-3m (166)

Q: Which of them is the most stable? A: model B.

Model A:
Here is a relaxed structure of Eu2InCl from Alexandria via LeMat-Bulk. Energies are from PBE-GGA.

a = 8.778 Å, b = 8.778 Å, c = 8.778 Å
α = 27.17°, β = 27.17°, γ = 27.17°
Fractional coordinates of all 4 atoms:
Eu (0.242, 0.242, 0.242)
Eu (0.758, 0.758, 0.758)
In (0.000, 0.000, 0.000)
Cl (0.500, 0.500, 0.500)

- SG: R-3m (166)

Model B:
Here is a relaxed structure of Eu2InCl from Alexandria via LeMat-Bulk. Energies are from PBE-GGA.

a = 3.612 Å, b = 3.612 Å, c = 8.736 Å
α = 90.00°, β = 90.00°, γ = 90.00°
Fractional coordinates of all 4 atoms:
Eu (0.000, 0.000, 0.243)
Eu (0.000, 0.000, 0.757)
In (0.500, 0.500, 0.500)
Cl (0.500, 0.500, 0.000)

- SG: P4/mmm (123)

Q: Which of them is the most stable? A: model A.

Model A:
Here is a relaxed structure of Eu2PdCl from Alexandria via LeMat-Bulk. Energies are from PBE-GGA.

a = 3.601 Å, b = 3.601 Å, c = 7.897 Å
α = 90.00°, β = 90.00°, γ = 90.00°
Fractional coordinates of all 4 atoms:
Eu (0.000, 0.000, 0.229)
Eu (0.000, 0.000, 0.771)
Pd (0.500, 0.500, 0.000)
Cl (0.500, 0.500, 0.500)

- SG: P4/mmm (123)

Model B:
Here is a relaxed structure of Eu2PdCl from Alexandria via LeMat-Bulk. Energies are from PBE-GGA.

a = 7.959 Å, b = 7.959 Å, c = 7.959 Å
α = 30.48°, β = 30.48°, γ = 30.48°
Fractional coordinates of all 4 atoms:
Eu (0.242, 0.242, 0.242)
Eu (0.758, 0.758, 0.758)
Pd (0.500, 0.500, 0.500)
Cl (0.000, 0.000, 0.000)

- SG: R-3m (166)

Q: Which of them is the most stable? A: model B.

Model A:
Here is a relaxed structure of Eu2SnCl from Alexandria via LeMat-Bulk. Energies are from PBE-GGA.

a = 3.669 Å, b = 3.669 Å, c = 8.466 Å
α = 90.00°, β = 90.00°, γ = 90.00°
Fractional coordinates of all 4 atoms:
Eu (0.000, 0.000, 0.250)
Eu (0.000, 0.000, 0.750)
Sn (0.500, 0.500, 0.000)
Cl (0.500, 0.500, 0.500)

- SG: P4/mmm (123)

Model B:
Here is a relaxed structure of Eu2SnCl from Alexandria via LeMat-Bulk. Energies are from PBE-GGA.

a = 8.119 Å, b = 8.119 Å, c = 8.119 Å
α = 30.80°, β = 30.80°, γ = 30.80°
Fractional coordinates of all 4 atoms:
Eu (0.245, 0.245, 0.245)
Eu (0.755, 0.755, 0.755)
Sn (0.000, 0.000, 0.000)
Cl (0.500, 0.500, 0.500)

- SG: R-3m (166)

Q: Which of them is the most stable? A: model B.

Model A:
Here is a relaxed structure of Eu2TlCl from Alexandria via LeMat-Bulk. Energies are from PBE-GGA.

a = 8.707 Å, b = 8.707 Å, c = 8.707 Å
α = 27.64°, β = 27.64°, γ = 27.64°
Fractional coordinates of all 4 atoms:
Eu (0.242, 0.242, 0.242)
Eu (0.758, 0.758, 0.758)
Tl (0.000, 0.000, 0.000)
Cl (0.500, 0.500, 0.500)

- SG: R-3m (166)

Model B:
Here is a relaxed structure of Eu2TlCl from Alexandria via LeMat-Bulk. Energies are from PBE-GGA.

a = 3.659 Å, b = 3.659 Å, c = 8.683 Å
α = 90.00°, β = 90.00°, γ = 90.00°
Fractional coordinates of all 4 atoms:
Eu (0.000, 0.000, 0.245)
Eu (0.000, 0.000, 0.755)
Tl (0.500, 0.500, 0.500)
Cl (0.500, 0.500, 0.000)

- SG: P4/mmm (123)

Q: Which of them is the most stable? A: model A.

Model A:
Here is a relaxed structure of Cl3F from Alexandria via LeMat-Bulk. Energies are from PBE-GGA.

a = 8.654 Å, b = 8.654 Å, c = 8.654 Å
α = 148.19°, β = 148.19°, γ = 45.61°
Fractional coordinates of all 8 atoms:
Cl (0.000, 0.000, 0.000)
Cl (0.079, 0.625, 0.954)
Cl (0.375, 0.329, 0.454)
Cl (0.671, 0.125, 0.046)
Cl (0.750, 0.250, 0.500)
Cl (0.875, 0.921, 0.546)
F (0.250, 0.750, 0.500)
F (0.500, 0.500, 0.000)

- SG: I-42d (122)

Model B:
Here is a relaxed structure of Cl3F from Alexandria via LeMat-Bulk. Energies are from PBE-GGA.

a = 6.103 Å, b = 6.103 Å, c = 6.103 Å
α = 138.38°, β = 109.54°, γ = 85.30°
Fractional coordinates of all 4 atoms:
Cl (0.000, 0.000, 0.000)
Cl (0.384, 0.132, 0.252)
Cl (0.880, 0.132, 0.748)
F (0.750, 0.250, 0.500)

- SG: Imm2 (44)

Model C:
Here is a relaxed structure of Cl3F from Alexandria via LeMat-Bulk. Energies are from PBE-GGA.

a = 4.191 Å, b = 5.331 Å, c = 5.219 Å
α = 90.00°, β = 90.00°, γ = 90.00°
Fractional coordinates of all 4 atoms:
Cl (0.000, 0.000, 0.000)
Cl (0.000, 0.500, 0.436)
Cl (0.500, 0.000, 0.881)
F (0.500, 0.500, 0.426)

- SG: Pmm2 (25)

Model D:
Here is a relaxed structure of Cl3F from Alexandria via LeMat-Bulk. Energies are from PBE-GGA.

a = 5.401 Å, b = 6.347 Å, c = 6.733 Å
α = 87.52°, β = 83.71°, γ = 89.92°
Fractional coordinates of all 8 atoms:
Cl (0.051, 0.320, 0.227)
Cl (0.236, 0.783, 0.578)
Cl (0.367, 0.107, 0.749)
Cl (0.633, 0.893, 0.251)
Cl (0.764, 0.217, 0.422)
Cl (0.949, 0.680, 0.773)
F (0.448, 0.326, 0.870)
F (0.552, 0.674, 0.130)

- SG: P-1 (2)

Q: Which of them is the most stable? A: model D.

Model A:
Here is a relaxed structure of Cl3F from Alexandria via LeMat-Bulk. Energies are from PBE-GGA.

a = 7.853 Å, b = 7.853 Å, c = 7.853 Å
α = 28.70°, β = 28.70°, γ = 28.70°
Fractional coordinates of all 4 atoms:
Cl (0.000, 0.000, 0.000)
Cl (0.097, 0.097, 0.097)
Cl (0.903, 0.903, 0.903)
F (0.500, 0.500, 0.500)

- SG: R-3m (166)

Model B:
Here is a relaxed structure of Cl3F from Alexandria via LeMat-Bulk. Energies are from PBE-GGA.

a = 10.545 Å, b = 10.545 Å, c = 10.545 Å
α = 16.67°, β = 16.67°, γ = 16.67°
Fractional coordinates of all 4 atoms:
Cl (0.000, 0.000, 0.000)
Cl (0.436, 0.436, 0.436)
Cl (0.564, 0.564, 0.564)
F (0.500, 0.500, 0.500)

- SG: R-3m (166)

Q: Which of them is the most stable? A: model A.

Model A:
Here is a relaxed structure of ClF4 from Alexandria via LeMat-Bulk. Energies are from PBE-GGA.

a = 6.697 Å, b = 6.697 Å, c = 4.485 Å
α = 102.53°, β = 102.53°, γ = 55.52°
Fractional coordinates of all 10 atoms:
Cl (0.174, 0.174, 0.214)
Cl (0.826, 0.826, 0.786)
F (0.099, 0.099, 0.855)
F (0.109, 0.552, 0.800)
F (0.448, 0.891, 0.200)
F (0.462, 0.462, 0.350)
F (0.538, 0.538, 0.650)
F (0.552, 0.109, 0.800)
F (0.891, 0.448, 0.200)
F (0.901, 0.901, 0.145)

- SG: C2/m (12)

Model B:
Here is a relaxed structure of ClF4 from Alexandria via LeMat-Bulk. Energies are from PBE-GGA.

a = 4.029 Å, b = 4.029 Å, c = 4.029 Å
α = 90.00°, β = 90.00°, γ = 90.00°
Fractional coordinates of all 5 atoms:
Cl (0.000, 0.000, 0.000)
F (0.000, 0.000, 0.500)
F (0.000, 0.500, 0.000)
F (0.500, 0.000, 0.000)
F (0.500, 0.500, 0.500)

- SG: Pm-3m (221)

Model C:
Here is a relaxed structure of ClF4 from Alexandria via LeMat-Bulk. Energies are from PBE-GGA.

a = 5.483 Å, b = 5.483 Å, c = 6.022 Å
α = 90.00°, β = 90.00°, γ = 90.00°
Fractional coordinates of all 10 atoms:
Cl (0.000, 0.000, 0.000)
Cl (0.500, 0.500, 0.500)
F (0.192, 0.255, 0.000)
F (0.245, 0.308, 0.500)
F (0.255, 0.808, 0.000)
F (0.308, 0.755, 0.500)
F (0.692, 0.245, 0.500)
F (0.745, 0.192, 0.000)
F (0.755, 0.692, 0.500)
F (0.808, 0.745, 0.000)

- SG: P4/mnc (128)

Q: Which of them is the most stable? A: model C.

Model A:
Here is a relaxed structure of Cl4F from Alexandria via LeMat-Bulk. Energies are from PBE-GGA.

a = 4.759 Å, b = 4.759 Å, c = 4.759 Å
α = 90.00°, β = 90.00°, γ = 90.00°
Fractional coordinates of all 5 atoms:
Cl (0.000, 0.000, 0.000)
Cl (0.000, 0.500, 0.500)
Cl (0.500, 0.000, 0.500)
Cl (0.500, 0.500, 0.000)
F (0.500, 0.500, 0.500)

- SG: Pm-3m (221)

Model B:
Here is a relaxed structure of Cl4F from Alexandria via LeMat-Bulk. Energies are from PBE-GGA.

a = 5.068 Å, b = 7.171 Å, c = 9.370 Å
α = 70.58°, β = 75.93°, γ = 89.80°
Fractional coordinates of all 10 atoms:
Cl (0.000, 0.000, 0.000)
Cl (0.005, 0.398, 0.517)
Cl (0.102, 0.702, 0.362)
Cl (0.278, 0.216, 0.975)
Cl (0.415, 0.900, 0.521)
Cl (0.466, 0.198, 0.356)
Cl (0.616, 0.699, 0.017)
Cl (0.895, 0.501, 0.997)
F (0.390, 0.649, 0.658)
F (0.906, 0.144, 0.646)

- SG: P1 (1)

Q: Which of them is the most stable? A: model B.